NaDyCl4 | Alexandria | PBE | relaxed; electronic total energy = -4.33 eV/atom; formation energy without anion corrections = -2.1128 eV per atom; magnetic moment = 0.000 μB per formula unit; distance to the lowest polymorph of the same formula = 6 meV/atom
1.0
6.515 0.000 0.000
0.000 4.050 0.000
-0.457 0.000 7.260
Na Dy Cl
1 1 4
Direct
0.000 0.000 0.000
0.000 0.500 0.500
0.203 0.500 0.202
0.229 0.000 0.649
0.771 0.000 0.351
0.797 0.500 0.798